[1]
# Al2S3O12

A relaxed structure of Al2S3O12 (GGA-PBE, Alexandria via LeMat-Bulk).

Output
**Fermi-level density of states**: 0.00 states/eV/f.u.
**Formation energy (no corrections)**: -31.30 eV/f.u.
**Magnetic moment**: 0.0 μB per cell

The structure in POSCAR format:
```
Al2S3O12
1.0
8.612 -0.001 -0.001
4.764 7.174 -0.001
4.764 2.555 6.703
Al S O
4 6 24
Cartesian
2.615 1.402 0.966 Al
15.525 8.325 5.736 Al
6.380 3.421 2.357 Al
11.760 6.306 4.345 Al
10.418 7.545 1.666 S
9.300 6.329 6.457 S
12.049 3.160 3.614 S
8.840 3.398 0.245 S
7.722 2.182 5.036 S
6.091 6.567 3.088 S
6.475 5.142 3.154 O
7.563 2.749 3.681 O
7.865 3.855 1.258 O
11.665 4.586 3.548 O
10.577 6.978 3.021 O
10.274 5.873 5.444 O
6.474 7.133 1.787 O
7.090 3.063 6.029 O
9.524 2.185 0.714 O
11.666 2.594 4.915 O
8.325 5.238 6.646 O
8.969 7.648 1.404 O
11.333 2.466 2.527 O
9.815 4.490 0.056 O
9.170 2.079 5.298 O
6.806 7.262 4.175 O
5.208 4.114 1.031 O
6.309 1.697 1.559 O
4.905 2.994 3.477 O
12.932 5.613 5.671 O
11.831 8.030 5.143 O
13.235 6.734 3.225 O
8.616 7.542 5.988 O
11.050 6.665 0.673 O
```

=====

[2]
# LiCdGe

A relaxed structure of LiCdGe (GGA-PBE, Alexandria via LeMat-Bulk).

Output
**Fermi-level density of states**: 1.96 states/eV/f.u.
**DFT formation energy**: -0.1150 eV per atom
**Magnetic moment**: 0.0 μB per cell

The structure in POSCAR format:
```
LiCdGe
1.0
4.477 0.000 0.000
2.238 3.877 0.000
2.238 1.292 3.655
Ge Li Cd
1 1 1
Cartesian
2.238 1.292 0.914 Ge
4.477 2.585 1.828 Li
0.000 0.000 0.000 Cd
```

=====

[3]
# LiCd2TeAs

A relaxed structure of LiCd2TeAs (GGA-PBE, Alexandria via LeMat-Bulk).

Output
**Fermi-level density of states**: 0.66 states/eV/f.u.
**Formation energy (no corrections)**: -0.85 eV/f.u.
**Magnetic moment**: 0.0 μB per cell

The structure in POSCAR format:
```
LiCd2TeAs
1.0
-0.270 -4.023 3.309
3.296 2.130 2.859
-3.821 2.406 2.612
As Te Li Cd
1 1 1 2
Cartesian
0.000 0.000 0.000 As
-0.398 0.257 4.390 Te
1.648 1.065 1.430 Li
-1.910 1.203 1.306 Cd
-0.135 -2.011 1.655 Cd
```

=====

[4]
# Fe3Co2Ir2

A relaxed structure of Fe3Co2Ir2 (GGA-PBE, Alexandria via LeMat-Bulk).

Output
**Fermi-level density of states**: 7.60 states/eV/f.u.
**DFT formation energy**: 0.0318 eV per atom
**Magnetic moment**: 13.9 μB per cell

The structure in POSCAR format:
```
Fe3Co2Ir2
1.0
4.021 -0.013 -1.114
-1.969 3.618 0.668
-0.417 1.015 6.291
Fe Co Ir
3 2 2
Cartesian
0.000 0.000 0.000 Fe
1.131 2.271 4.052 Fe
0.504 2.349 1.794 Fe
-1.313 3.538 3.033 Co
2.949 1.083 2.813 Co
2.254 1.170 0.310 Ir
-0.619 3.451 5.536 Ir
```

=====

[5]
# Cr2Fe

A relaxed structure of Cr2Fe (GGA-PBE, Alexandria via LeMat-Bulk).

Output
**Fermi-level density of states**: 2.69 states/eV/f.u.
**DFT formation energy**: 0.2865 eV per atom
**Magnetic moment**: 0.0 μB per cell

The structure in POSCAR format:
```
Cr2Fe
1.0
4.607 0.000 0.000
2.303 3.990 0.000
2.303 1.330 3.762
Cr Fe
4 2
Cartesian
2.303 2.660 1.881 Cr
1.152 1.995 0.000 Cr
1.152 0.665 1.881 Cr
4.607 2.660 1.881 Cr
3.455 0.665 0.470 Fe
5.759 4.655 3.291 Fe
```

=====

[6]
# SrTl2Au2

A relaxed structure of SrTl2Au2 (GGA-PBE, Alexandria via LeMat-Bulk).

Output
**Fermi-level density of states**: 1.96 states/eV/f.u.
**DFT formation energy**: -0.3021 eV per atom
**Magnetic moment**: 0.0 μB per cell

The structure in POSCAR format:
```
SrTl2Au2
1.0
-0.013 1.971 4.959
2.892 -4.165 1.663
5.659 1.435 2.316
Sr Tl Au
1 2 2
Cartesian
0.000 0.000 0.000 Sr
2.672 -0.358 3.020 Tl
5.866 -0.401 5.917 Tl
3.543 1.155 5.293 Au
4.995 -1.913 3.645 Au
```

=====

[7]
# Nd3NbS6

A relaxed structure of Nd3NbS6 (GGA-PBE, Alexandria via LeMat-Bulk).

Output
**Fermi-level density of states**: 3.42 states/eV/f.u.
**Formation energy (no corrections)**: -16.43 eV/f.u.
**Magnetic moment**: 4.0 μB per cell

The structure in POSCAR format:
```
Nd3NbS6
1.0
6.752 0.000 0.000
0.000 8.788 0.053
0.000 -1.910 8.578
Nd Nb S
6 2 12
Cartesian
3.226 6.661 6.237 Nd
6.603 4.593 7.885 Nd
2.688 2.386 5.155 Nd
6.064 4.492 3.476 Nd
6.603 0.217 2.394 Nd
3.226 2.285 0.746 Nd
0.142 0.187 6.907 Nb
3.518 6.691 1.724 Nb
1.268 4.834 5.482 S
4.644 4.265 5.935 S
1.332 2.055 7.762 S
4.708 7.108 3.735 S
1.173 -1.544 8.287 S
4.503 0.441 6.705 S
1.127 6.438 1.926 S
4.549 8.423 0.344 S
1.332 -0.229 4.896 S
4.708 4.823 0.869 S
1.268 2.614 2.696 S
4.644 2.045 3.149 S
```

=====

[8]
# Pa3Al

A relaxed structure of Pa3Al (GGA-PBE, Alexandria via LeMat-Bulk).

Output
**Fermi-level density of states**: 7.94 states/eV/f.u.
**DFT formation energy**: -0.1141 eV per atom
**Magnetic moment**: 0.0 μB per cell

The structure in POSCAR format:
```
Pa3Al
1.0
5.523 -0.002 0.000
1.848 5.205 0.000
-3.686 -2.601 3.187
Pa Al
3 1
Cartesian
2.762 -0.001 1.593 Pa
0.924 2.602 1.593 Pa
3.686 2.601 0.000 Pa
0.000 0.000 0.000 Al
```

=====

[9]
# Be2Zn2CuPt5

A relaxed structure of Be2Zn2CuPt5 (GGA-PBE, Alexandria via LeMat-Bulk).

Output
**Fermi-level density of states**: 2.11 states/eV/f.u.
**DFT formation energy**: -0.4645 eV per atom
**Magnetic moment**: 0.0 μB per cell

The structure in POSCAR format:
```
Be2Zn2CuPt5
1.0
-0.154 -2.328 -2.294
9.151 0.175 -0.792
0.686 -6.453 6.503
Be Zn Cu Pt
4 4 2 10
Cartesian
1.615 -4.038 3.990 Be
8.223 -2.240 1.722 Be
6.356 -5.509 5.165 Be
3.481 -0.769 0.547 Be
6.275 -0.997 0.591 Zn
3.562 -5.281 5.121 Zn
1.806 -2.081 1.991 Zn
8.032 -4.197 3.721 Zn
0.000 0.000 0.000 Cu
4.919 -3.139 2.856 Cu
1.845 -1.635 -0.798 Pt
7.838 -6.971 4.216 Pt
1.187 -6.286 3.966 Pt
6.656 -3.761 1.037 Pt
8.496 -2.320 -0.549 Pt
3.027 -4.845 2.381 Pt
5.700 -5.607 2.975 Pt
3.983 -2.999 0.443 Pt
4.499 -1.077 -1.543 Pt
0.266 -4.391 2.105 Pt
```

=====

[10]
# NbRePt

A relaxed structure of NbRePt (GGA-PBE, Alexandria via LeMat-Bulk).

Output
**Fermi-level density of states**: 2.45 states/eV/f.u.
**DFT formation energy**: -0.2775 eV per atom
**Magnetic moment**: 0.0 μB per cell

The structure in POSCAR format:
```
NbRePt
1.0
4.954 0.000 -0.004
0.000 8.481 0.000
-1.690 0.000 4.596
Nb Re Pt
4 4 4
Cartesian
1.632 4.193 2.296 Nb
2.477 8.433 -0.002 Nb
0.000 1.538 0.000 Nb
-0.845 5.779 2.298 Nb
0.000 4.339 0.000 Re
-0.845 0.099 2.298 Re
0.000 7.065 0.000 Re
-0.845 2.824 2.298 Re
1.632 7.105 2.296 Pt
2.477 2.865 -0.002 Pt
1.632 1.409 2.296 Pt
2.477 5.649 -0.002 Pt
```

=====

[11]
# TiSb2TeAs

A relaxed structure of TiSb2TeAs (GGA-PBE, Alexandria via LeMat-Bulk).

Output
**Fermi-level density of states**: 6.13 states/eV/f.u.
**Formation energy (no corrections)**: 2.00 eV/f.u.
**Magnetic moment**: 0.5 μB per cell

The structure in POSCAR format:
```
TiSb2TeAs
1.0
5.304 0.000 0.000
0.000 5.304 0.000
0.000 0.000 5.130
Sb As Te Ti
2 1 1 1
Cartesian
0.000 2.652 0.000 Sb
2.652 0.000 0.000 Sb
2.652 2.652 2.565 As
0.000 0.000 2.565 Te
0.000 0.000 0.000 Ti
```

=====

[12]
# LiCdBr2

A relaxed structure of LiCdBr2 (GGA-PBE, Alexandria via LeMat-Bulk).

Output
**Fermi-level density of states**: 1.24 states/eV/f.u.
**Formation energy (no corrections)**: -3.25 eV/f.u.
**Magnetic moment**: 0.0 μB per cell

The structure in POSCAR format:
```
LiCdBr2
1.0
2.266 0.000 8.465
-1.133 1.962 8.465
-1.133 -1.962 8.465
Li Br Cd
1 2 1
Cartesian
0.000 0.000 12.697 Li
0.000 0.000 22.654 Br
0.000 0.000 2.739 Br
0.000 0.000 0.000 Cd
```

=====

Q: Number 2 is which compound?
A: LiCdGe